DFT (PBE+U) results for Mg2MnCoO4 after structural relaxation.

Structure (CIF):
```
data_Mg2MnCoO4
_space_group_name_H-M_alt 'P 1 2/m 1'
_space_group_IT_number 10
_cell_length_a 5.2939
_cell_length_b 3.0564
_cell_length_c 5.3301
_cell_angle_alpha 90.00
_cell_angle_beta 109.77
_cell_angle_gamma 90.00
loop_
_space_group_symop_operation_xyz
'x,y,z'
'-x,-y,-z'
'-x,y,-z'
'x,-y,z'
loop_
_atom_site_label
_atom_site_fract_x
_atom_site_fract_y
_atom_site_fract_z
Mg1 0.0000 0.0000 0.0000
Mg2 0.5000 0.5000 0.0000
Mn1 0.0000 0.5000 0.5000
Co1 0.5000 0.0000 0.5000
O1 0.2529 0.5000 0.2411
O2 0.2568 0.0000 0.7640
```

## Properties
total DFT energy (no corrections) = -6.4500 eV/atom
DOS(E_F) = 0.000 states/eV/f.u.
total moment = 8.00 μB per cell